Below is an optimized crystal structure of TaZnCoAs, with properties calculated at the PBE level.

The energy relative to the lowest polymorph listed for this composition comes out at 0 meV/atom. The calculation puts the raw total energy at -6.03 eV/atom.

The space group is F-43m (No. 216) and the conventional cell measures 6.1495, 6.1495 and 6.1495 Å, with angles of 90.00, 90.00 and 90.00 degrees. Symmetry generates all atoms from Ta at (0.0000, 0.0000, 0.0000), Zn at (0.2500, 0.2500, 0.7500), Co at (0.0000, 0.0000, 0.5000) and As at (0.2500, 0.2500, 0.2500).



Below is an optimized crystal structure of TaZnCoAs, with properties calculated at the PBE level.

The energy relative to the lowest polymorph listed for this composition comes out at 134 meV/atom. The calculation puts the raw total energy at -5.89 eV/atom.

The space group is F-43m (No. 216) and the conventional cell measures 6.2091, 6.2091 and 6.2091 Å, with angles of 90.00, 90.00 and 90.00 degrees. Symmetry generates all atoms from Ta at (0.0000, 0.0000, 0.0000), Zn at (0.2500, 0.2500, 0.2500), Co at (0.2500, 0.2500, 0.7500) and As at (0.0000, 0.0000, 0.5000).